An optimized crystal structure of ZnPtPb3, computed with PBE-GGA.

a b c (Å): 5.427 5.427 5.427
angles (deg): 90.00 90.00 90.00
Element x y z (fractional)
Zn: 0.000 0.000 0.000
Pt: 0.500 0.500 0.500
Pb: 0.000 0.500 0.500
Pb: 0.500 0.000 0.500
Pb: 0.500 0.500 0.000

Summary:
Space group = Pm-3m (221)
Volume = 32.0 Å³ per atom
Energy of formation from the pure elements = 133.4 kJ/mol of formula units

=====

An optimized crystal structure of ZnPt2Pb, computed with PBE-GGA.

a b c (Å): 5.843 6.789 3.614
angles (deg): 90.00 90.00 90.00
Element x y z (fractional)
Zn: 0.000 0.000 0.000
Zn: 0.500 0.500 0.000
Pt: 0.250 0.250 0.500
Pt: 0.250 0.750 0.500
Pt: 0.750 0.250 0.500
Pt: 0.750 0.750 0.500
Pb: 0.000 0.500 0.000
Pb: 0.500 0.000 0.000

Summary:
Space group = Cmmm (65)
Volume = 17.9 Å³ per atom
Energy of formation from the pure elements = -42.9 kJ/mol of formula units

=====

An optimized crystal structure of ZrPtPb2, computed with PBE-GGA.

a b c (Å): 3.639 4.281 13.270
angles (deg): 90.00 90.00 90.00
Element x y z (fractional)
Zr: 0.000 0.000 0.000
Zr: 0.500 0.500 0.500
Pt: 0.000 0.000 0.500
Pt: 0.500 0.500 0.000
Pb: 0.000 0.500 0.180
Pb: 0.000 0.500 0.820
Pb: 0.500 0.000 0.320
Pb: 0.500 0.000 0.680

Summary:
Space group = Immm (71)
Volume = 25.8 Å³ per atom
Energy of formation from the pure elements = -59.3 kJ/mol of formula units

=====

An optimized crystal structure of ZrPtPb2, computed with PBE-GGA.

a b c (Å): 4.283 4.283 9.754
angles (deg): 90.00 90.00 90.00
Element x y z (fractional)
Zr: 0.000 0.000 0.000
Zr: 0.500 0.500 0.500
Pt: 0.000 0.500 0.250
Pt: 0.500 0.000 0.750
Pb: 0.000 0.000 0.500
Pb: 0.000 0.500 0.750
Pb: 0.500 0.000 0.250
Pb: 0.500 0.500 0.000

Summary:
Space group = I-4m2 (119)
Volume = 22.4 Å³ per atom
Energy of formation from the pure elements = -55.3 kJ/mol of formula units